(1)
A geometry-optimized K2DyTlS4 structure, computed with PBE.

It has space group C2/c (No. 15), with a = 11.768 Å, b = 12.031 Å, c = 8.293 Å, α = 90.00°, β = 134.71° and γ = 90.00°. The distinct sites, in fractional coordinates, are K at (0.000, 0.000, 0.000), K at (0.250, 0.250, 0.000), Dy at (0.000, 0.500, 0.000), Tl at (0.250, 0.250, 0.500), S at (0.001, 0.265, 0.470) and S at (0.219, 0.492, 0.469).

As for the mass density: 4.56 Mg/m³. The calculation puts the raw formation energy at -1167 meV/atom. As for the crystal system: monoclinic.

***

(2)
A geometry-optimized K3DyTm2S6 structure, computed with PBE.

It has space group C2/m (No. 12), with a = 6.956 Å, b = 12.049 Å, c = 7.717 Å, α = 90.00°, β = 107.48° and γ = 90.00°. The distinct sites, in fractional coordinates, are K at (0.000, 0.000, 0.000), K at (0.000, 0.334, 0.000), Dy at (0.000, 0.500, 0.500), Tm at (0.000, 0.167, 0.500), S at (0.230, 0.000, 0.700) and S at (0.235, 0.332, 0.700).

As for the mass density: 4.36 Mg/m³. The calculation puts the raw formation energy at -1889 meV/atom. As for the crystal system: monoclinic.

***

(3)
A geometry-optimized K3DyU3S8 structure, computed with PBE.

It has space group R-3m (No. 166, hexagonal axes), with a = 8.0437 Å, b = 8.0437 Å, c = 22.5165 Å, α = 90.00°, β = 90.00° and γ = 120.00°. The distinct sites, in fractional coordinates, are K at (0.0000, 0.5000, 0.0000), Dy at (0.0000, 0.0000, 0.5000), U at (0.0000, 0.5000, 0.5000), S at (0.0000, 0.0000, 0.2341) and S at (0.0007, 0.5003, 0.7676).

As for the mass density: 4.94 Mg/m³. The calculation puts the raw formation energy at -1532 meV/atom. As for the crystal system: trigonal.

***

(4)
A geometry-optimized K2Dy2US6 structure, computed with PBE.

It has space group C2/m (No. 12), with a = 6.963 Å, b = 12.050 Å, c = 7.880 Å, α = 90.00°, β = 107.35° and γ = 90.00°. The distinct sites, in fractional coordinates, are K at (0.000, 0.169, 0.000), Dy at (0.000, 0.334, 0.500), U at (0.000, 0.000, 0.500), S at (0.229, 0.165, 0.695) and S at (0.240, 0.500, 0.695).

As for the mass density: 4.39 Mg/m³. The calculation puts the raw formation energy at -1750 meV/atom. As for the crystal system: monoclinic.

***

no.,final energy (eV per cell)
1,-140.050
2,-128.534
3,-293.259
4,-133.403